The following is a PBE calculation of ZnFeIr after structural relaxation, from Alexandria via LeMat-Bulk.

Cell and atoms, written as POSCAR:
```
ZnFeIr
1.0
5.699 -0.001 0.000
4.389 3.635 0.000
-5.044 -1.817 1.932
Zn Ir Fe
1 1 1
direct
0.663 0.663 0.000
0.341 0.341 0.000
0.996 0.996 0.000
```

## Properties
calculated total energy	-6.2520	eV per atom
DOS(E_F)	2.94	states/eV per cell
crystal system	tetragonal
total magnetic moment	2.06	Bohr magnetons per cell